1.
Y2HgSe: optimized geometry, GGA-PBE.

Properties
As for the polymorph energy (0 for the lowest one): 288 meV/atom. For the formation energy (no corrections), the calculation gives -0.834 eV per atom. As for the crystal system: orthorhombic.

Lattice parameters (Å, degrees): 4.2698 5.7801 8.3176 90.00 90.00 90.00
Last column: nearest neighbours and their distance in Å.
Space group Immm (No. 71)
One atom of each set of equivalent atoms:
Y 0.0000 0.0000 0.2316 [4 per cell]  2 Se 2.88, 2 Hg 3.09
Hg 0.0000 0.5000 0.0000 [2 per cell]  4 Y 3.09
Se 0.0000 0.5000 0.5000 [2 per cell]  4 Y 2.88

---

2.
SrCu3Ru: optimized geometry, GGA-PBE.

Properties
As for the polymorph energy (0 for the lowest one): 0 meV/atom. As for the crystal system: cubic. Its formation enthalpy at 0 K is 0.473 eV per atom.

Lattice parameters (Å, degrees): 4.7358 4.7358 4.7358 90.00 90.00 90.00
Last column: nearest neighbours and their distance in Å.
Space group Pm-3m (No. 221)
One atom of each set of equivalent atoms:
Sr 0.0000 0.0000 0.0000 [1 per cell]  12 Cu 3.35
Cu 0.0000 0.5000 0.5000 [3 per cell]  2 Ru 2.37
Ru 0.5000 0.5000 0.5000 [1 per cell]  6 Cu 2.37

---

3.
K2Li2NpO4: optimized geometry, GGA-PBE.

Properties
For the formation energy (no corrections), the calculation gives -2.095 eV per atom. As for the crystal system: monoclinic.

Lattice parameters (Å, degrees): 12.4938 3.4978 6.5430 90.00 112.40 90.00
Last column: nearest neighbours and their distance in Å.
Space group C2/m (No. 12)
One atom of each set of equivalent atoms:
K 0.1401 0.0000 0.0675 [4 per cell]  7 O 2.85-3.13, 3 Li 2.95-3.09
Li 0.1820 0.5000 0.4798 [4 per cell]  4 O 1.98-2.00
Np 0.0000 0.0000 0.5000 [2 per cell]  6 O 2.22-2.29
O 0.0154 0.5000 0.2871 [4 per cell]  1 Li 1.98
O 0.1923 0.0000 0.6357 [4 per cell]  3 Li 1.99-2.00, 1 Np 2.22

---

4.
La2ICl5: optimized geometry, GGA-PBE.

Properties
For the formation energy (no corrections), the calculation gives -2.168 eV per atom. As for the crystal system: orthorhombic.

Lattice parameters (Å, degrees): 4.7373 8.6543 11.2339 90.00 90.00 90.00
Last column: nearest neighbours and their distance in Å.
Space group Immm (No. 71)
One atom of each set of equivalent atoms:
La 0.0000 0.0000 0.2439 [4 per cell]  7 Cl 2.74-2.99
I 0.0000 0.5000 0.0000 [2 per cell]  4 La 3.73, 12 Cl 4.06-4.07
Cl 0.0000 0.0000 0.0000 [2 per cell]  2 La 2.74
Cl 0.0000 0.3145 0.3323 [8 per cell]  3 La 2.90-2.99, 3 Cl 3.21

---

These records have energy values of -5.013; -4.176; -6.406; -4.748 eV/atom, in the order they appear.
These records have size of the total moment values of 0.00; 0.00; 6.00; 0.00 μB/cell, in the order they appear.